## one
! Nb2CoRh2 | Alexandria | PBE-GGA | relaxed; values from VASP
! DOS at the Fermi energy: 1.1862 states/eV/atom
! Mass density: 9.273 g cm⁻³
&SYSTEM
  ibrav = 0, nat = 10, ntyp = 3
/
ATOMIC_SPECIES
Nb 92.91 Nb.upf
Co 58.93 Co.upf
Rh 102.91 Rh.upf
CELL_PARAMETERS angstrom
7.1787 0.0000 0.0000
0.0000 7.1787 0.0000
0.0000 0.0000 3.1312
ATOMIC_POSITIONS crystal
Nb 0.1723 0.3277 0.0000
Nb 0.3277 0.8277 0.0000
Nb 0.6723 0.1723 0.0000
Nb 0.8277 0.6723 0.0000
Co 0.0000 0.0000 0.5000
Co 0.5000 0.5000 0.5000
Rh 0.1330 0.6330 0.5000
Rh 0.3670 0.1330 0.5000
Rh 0.6330 0.8670 0.5000
Rh 0.8670 0.3670 0.5000

***

## two
! Nb2CoRh2 | Alexandria | PBE-GGA | relaxed; values from VASP
! DOS at the Fermi energy: 0.8907 states/eV/atom
! Mass density: 9.695 g cm⁻³
&SYSTEM
  ibrav = 0, nat = 10, ntyp = 3
/
ATOMIC_SPECIES
Nb 92.91 Nb.upf
Co 58.93 Co.upf
Rh 102.91 Rh.upf
CELL_PARAMETERS angstrom
-2.7828 5.6975 2.4338
2.7828 -5.6975 2.4338
2.7828 5.6975 -2.4338
ATOMIC_POSITIONS crystal
Nb 0.1717 0.1842 0.3560
Nb 0.3283 0.6842 0.0125
Nb 0.6717 0.3158 0.9875
Nb 0.8283 0.8158 0.6440
Co 0.2500 0.2500 0.0000
Co 0.7500 0.7500 0.0000
Rh 0.0987 0.6531 0.7518
Rh 0.4013 0.1531 0.5544
Rh 0.5987 0.8469 0.4456
Rh 0.9013 0.3469 0.2482

***

Stability check: which of them is most stable? two.

***

## one
! NbCo3Rh | Alexandria | PBE-GGA | relaxed; values from VASP
! DOS at the Fermi energy: 1.8764 states/eV/atom
! Mass density: 7.117 g cm⁻³
&SYSTEM
  ibrav = 0, nat = 5, ntyp = 3
/
ATOMIC_SPECIES
Nb 92.91 Nb.upf
Co 58.93 Co.upf
Rh 102.91 Rh.upf
CELL_PARAMETERS angstrom
4.4301 0.0000 0.0000
0.0000 4.4301 0.0000
0.0000 0.0000 4.4301
ATOMIC_POSITIONS crystal
Nb 0.0000 0.0000 0.0000
Co 0.0000 0.5000 0.5000
Co 0.5000 0.0000 0.5000
Co 0.5000 0.5000 0.0000
Rh 0.5000 0.5000 0.5000

***

## two
! NbCo3Rh | Alexandria | PBE-GGA | relaxed; values from VASP
! DOS at the Fermi energy: 1.7062 states/eV/atom
! Mass density: 7.412 g cm⁻³
&SYSTEM
  ibrav = 0, nat = 5, ntyp = 3
/
ATOMIC_SPECIES
Nb 92.91 Nb.upf
Co 58.93 Co.upf
Rh 102.91 Rh.upf
CELL_PARAMETERS angstrom
4.3704 0.0000 0.0000
0.0000 4.3704 0.0000
0.0000 0.0000 4.3704
ATOMIC_POSITIONS crystal
Nb 0.0000 0.0000 0.0000
Co 0.0000 0.0000 0.5000
Co 0.0000 0.5000 0.0000
Co 0.5000 0.0000 0.0000
Rh 0.5000 0.5000 0.5000

***

Stability check: which of them is most stable? one.